48
Lattice="10.211 0.000 0.000 0.000 10.211 0.000 0.000 0.000 10.211" Properties=species:S:1:pos:R:3 comment="Si23As, relaxed, DFT GGA-PBE" volume_a3_per_atom=22.18 crystal_system=cubic magnetic_moment_mub_per_fu=0.00 e_form_raw_ev_per_atom=0.14 dos_at_fermi_per_ev_cell=15.11 pbc="T T T"
Si 0.000 1.192 3.151
Si 0.000 1.192 7.060
Si 0.000 2.553 5.106
Si 0.000 7.658 5.106
Si 0.000 9.019 3.151
Si 0.000 9.019 7.060
Si 1.192 3.151 0.000
Si 1.192 7.060 0.000
Si 1.862 1.862 1.862
Si 1.862 1.862 8.350
Si 1.862 8.350 1.862
Si 1.862 8.350 8.350
Si 1.954 3.914 5.106
Si 1.954 6.297 5.106
Si 2.553 5.106 0.000
Si 3.151 0.000 1.192
Si 3.151 0.000 9.019
Si 3.244 3.244 3.244
Si 3.244 3.244 6.967
Si 3.244 6.967 3.244
Si 3.244 6.967 6.967
Si 3.914 5.106 1.954
Si 3.914 5.106 8.257
Si 5.106 0.000 2.553
Si 5.106 0.000 7.658
Si 5.106 1.954 3.914
Si 5.106 1.954 6.297
Si 5.106 8.257 3.914
Si 5.106 8.257 6.297
Si 6.297 5.106 1.954
Si 6.297 5.106 8.257
Si 6.967 3.244 3.244
Si 6.967 3.244 6.967
Si 6.967 6.967 3.244
Si 6.967 6.967 6.967
Si 7.060 0.000 1.192
Si 7.060 0.000 9.019
Si 7.658 5.106 0.000
Si 8.257 3.914 5.106
Si 8.257 6.297 5.106
Si 8.350 1.862 1.862
Si 8.350 1.862 8.350
Si 8.350 8.350 1.862
Si 8.350 8.350 8.350
Si 9.019 3.151 0.000
Si 9.019 7.060 0.000
As 0.000 0.000 0.000
As 5.106 5.106 5.106